# 1
Entry from Alexandria: a relaxed structure of Sc5NiRh4 (GGA-PBE).

a = 3.1860 Å, b = 3.1860 Å, c = 16.4847 Å
α = 90.00°, β = 90.00°, γ = 90.00°
Fractional coordinates of all 10 atoms:
Sc  0.5000  0.5000  0.0975
Sc  0.5000  0.5000  0.2988
Sc  0.5000  0.5000  0.5000
Sc  0.5000  0.5000  0.7012
Sc  0.5000  0.5000  0.9025
Ni  0.0000  0.0000  0.0000
Rh  0.0000  0.0000  0.1974
Rh  0.0000  0.0000  0.3993
Rh  0.0000  0.0000  0.6007
Rh  0.0000  0.0000  0.8026

Computed properties:
N(E_F) (states/eV/cell): 3.2
Total magnetic moment (μB/f.u.): 0.0
Energy of formation from the pure elements (meV per atom): -915

---

# 2
Entry from Alexandria: a relaxed structure of ScNiRh2 (GGA-PBE).

a = 4.7864 Å, b = 4.7864 Å, c = 4.5360 Å
α = 77.41°, β = 77.41°, γ = 35.63°
Fractional coordinates of all 4 atoms:
Ni  0.2544  0.2544  0.2360
Rh  0.9962  0.9962  0.0093
Rh  0.7465  0.7465  0.7596
Sc  0.5029  0.5029  0.4951

Computed properties:
N(E_F) (states/eV/cell): 5.0
Total magnetic moment (μB/f.u.): 0.0
Energy of formation from the pure elements (meV per atom): -376

---

# 3
Entry from Alexandria: a relaxed structure of ScNi2Rh (GGA-PBE).

a = 3.6503 Å, b = 3.6503 Å, c = 9.3574 Å
α = 78.75°, β = 78.75°, γ = 90.00°
Fractional coordinates of all 8 atoms:
Sc  0.5000  0.5000  0.0000
Sc  0.2500  0.7500  0.5000
Ni  0.6467  0.1250  0.2500
Ni  0.1033  0.6250  0.2500
Ni  0.3750  0.3533  0.7500
Ni  0.8750  0.8967  0.7500
Rh  0.0000  0.0000  0.0000
Rh  0.7500  0.2500  0.5000

Computed properties:
N(E_F) (states/eV/cell): 7.7
Total magnetic moment (μB/f.u.): 0.0
Energy of formation from the pure elements (meV per atom): -90

---

# 4
Entry from Alexandria: a relaxed structure of ScNiRh2 (GGA-PBE).

a = 8.6699 Å, b = 8.6699 Å, c = 8.6699 Å
α = 18.99°, β = 18.99°, γ = 18.99°
Fractional coordinates of all 4 atoms:
Ni  0.7494  0.7494  0.7494
Rh  0.0032  0.0032  0.0032
Rh  0.2489  0.2489  0.2489
Sc  0.4985  0.4985  0.4985

Computed properties:
N(E_F) (states/eV/cell): 5.2
Total magnetic moment (μB/f.u.): 1.2
Energy of formation from the pure elements (meV per atom): 12

---

# 5
Entry from Alexandria: a relaxed structure of ScNiRh (GGA-PBE).

a = 5.0051 Å, b = 5.0056 Å, c = 3.1826 Å
α = 71.46°, β = 71.47°, γ = 37.07°
Fractional coordinates of all 3 atoms:
Ni  0.9981  0.9981  0.0019
Rh  0.3366  0.3366  0.6634
Sc  0.6654  0.6654  0.3346

Computed properties:
N(E_F) (states/eV/cell): 5.3
ΔE to the lowest computed polymorph (eV/atom): 0.206
Total magnetic moment (μB/f.u.): 0.3
Energy of formation from the pure elements (meV per atom): -433

---

# 6
Entry from Alexandria: a relaxed structure of Sc6Ni2Rh (GGA-PBE).

a = 7.6467 Å, b = 7.6467 Å, c = 7.6467 Å
α = 109.36°, β = 111.63°, γ = 107.46°
Fractional coordinates of all 18 atoms:
Sc  0.5575  0.7361  0.8214
Sc  0.4425  0.2639  0.1786
Sc  0.0853  0.2639  0.8214
Sc  0.9147  0.7361  0.1786
Sc  0.8078  0.7435  0.5514
Sc  0.1922  0.2565  0.4486
Sc  0.1922  0.7435  0.9357
Sc  0.8078  0.2565  0.0643
Sc  0.7034  0.3771  0.6738
Sc  0.2966  0.6229  0.3262
Sc  0.2966  0.9704  0.6738
Sc  0.7034  0.0296  0.3262
Ni  0.5000  0.3725  0.8725
Ni  0.5000  0.6275  0.1275
Ni  0.6511  0.0000  0.6511
Ni  0.3489  0.0000  0.3489
Rh  0.0000  0.5000  0.5000
Rh  0.0000  0.0000  0.0000

Computed properties:
N(E_F) (states/eV/cell): 17.2
Total magnetic moment (μB/f.u.): 0.0
Energy of formation from the pure elements (meV per atom): -476